{"formula": "CeHgTe2O8", "functional": "PBE-GGA", "state": "optimized geometry", "mass_density_g_cm3": 6.32, "dft_energy_ev_per_atom": -5.590, "formation_energy_uncorrected_ev_per_atom": -1.24, "m_tot_mub_per_cell": 1.79, "lattice_angstrom": [[5.995, -3.167, 0.000], [5.995, 3.167, 0.000], [-2.105, 0.000, 5.009]], "species": ["Ce", "Hg", "Te", "Te", "O", "O", "O", "O", "O", "O", "O", "O"], "frac_coords": [[0.000, 0.000, 0.000], [0.500, 0.500, 0.500], [0.283, 0.283, 0.798], [0.717, 0.717, 0.202], [0.111, 0.111, 0.756], [0.146, 0.610, 0.751], [0.331, 0.331, 0.174], [0.390, 0.854, 0.249], [0.610, 0.146, 0.751], [0.669, 0.669, 0.826], [0.854, 0.390, 0.249], [0.889, 0.889, 0.244]]}

---

{"formula": "CaSmAsSe", "functional": "PBE-GGA", "state": "optimized geometry", "mass_density_g_cm3": 5.31, "dft_energy_ev_per_atom": -5.414, "formation_energy_uncorrected_ev_per_atom": -1.70, "m_tot_mub_per_cell": 0.00, "lattice_angstrom": [[2.117, 1.222, 6.930], [-2.117, 1.222, 6.930], [0.000, -2.444, 6.930]], "species": ["Ca", "Sm", "As", "Se"], "frac_coords": [[0.000, 0.000, 0.000], [0.508, 0.508, 0.508], [0.250, 0.250, 0.250], [0.753, 0.753, 0.753]]}

---

Copy entry 2 word for word.
{"formula": "CaSmAsSe", "functional": "PBE-GGA", "state": "optimized geometry", "mass_density_g_cm3": 5.31, "dft_energy_ev_per_atom": -5.414, "formation_energy_uncorrected_ev_per_atom": -1.70, "m_tot_mub_per_cell": 0.00, "lattice_angstrom": [[2.117, 1.222, 6.930], [-2.117, 1.222, 6.930], [0.000, -2.444, 6.930]], "species": ["Ca", "Sm", "As", "Se"], "frac_coords": [[0.000, 0.000, 0.000], [0.508, 0.508, 0.508], [0.250, 0.250, 0.250], [0.753, 0.753, 0.753]]}

---

Number 1 is which compound? CeHgTe2O8